Entry 1:
DFT (PBE-GGA) results for a geometry-optimized ThUFe2 structure.

Unit cell a=7.3262 b=4.3362 c=9.7654 alpha=90.00 beta=90.00 gamma=90.00
Fractional coordinates of all 16 atoms:
Th1 0.1018 0.2500 0.1249
Th2 0.3982 0.7500 0.6249
Th3 0.6018 0.2500 0.3751
Th4 0.8982 0.7500 0.8751
U1 0.0508 0.2500 0.6240
U2 0.4492 0.7500 0.1240
U3 0.5508 0.2500 0.8760
U4 0.9492 0.7500 0.3760
Fe1 0.1872 0.2500 0.8151
Fe2 0.1914 0.2500 0.4339
Fe3 0.3086 0.7500 0.9339
Fe4 0.3128 0.7500 0.3151
Fe5 0.6872 0.2500 0.6849
Fe6 0.6914 0.2500 0.0661
Fe7 0.8086 0.7500 0.5661
Fe8 0.8128 0.7500 0.1849

**Electronic total energy**: -9.10 eV per atom



Entry 2:
DFT (PBE-GGA) results for a geometry-optimized Pr8SmBi6 structure.

Unit cell a=10.0484 b=10.0484 c=10.0484 alpha=49.73 beta=49.73 gamma=49.73
Fractional coordinates of all 15 atoms:
Pr1 0.0407 0.7140 0.3790
Pr2 0.1668 0.1668 0.1668
Pr3 0.2860 0.6210 0.9593
Pr4 0.3790 0.0407 0.7140
Pr5 0.6210 0.9593 0.2860
Pr6 0.7140 0.3790 0.0407
Pr7 0.8332 0.8332 0.8332
Pr8 0.9593 0.2860 0.6210
Sm1 0.5000 0.5000 0.5000
Bi1 0.1047 0.4328 0.7634
Bi2 0.2366 0.8953 0.5672
Bi3 0.4328 0.7634 0.1047
Bi4 0.5672 0.2366 0.8953
Bi5 0.7634 0.1047 0.4328
Bi6 0.8953 0.5672 0.2366

**Electronic total energy**: -5.03 eV per atom



Entry 3:
DFT (PBE-GGA) results for a geometry-optimized Sm6HgIr2 structure.

Unit cell a=5.7668 b=5.7668 c=9.3481 alpha=100.18 beta=100.18 gamma=52.27
Fractional coordinates of all 9 atoms:
Sm1 0.0369 0.0369 0.3452
Sm2 0.2862 0.2862 0.6642
Sm3 0.3418 0.3418 0.1084
Sm4 0.6582 0.6582 0.8916
Sm5 0.7138 0.7138 0.3358
Sm6 0.9631 0.9631 0.6548
Hg1 0.0000 0.0000 0.0000
Ir1 0.3778 0.3778 0.4009
Ir2 0.6222 0.6222 0.5991

**Polymorph energy (0 for the lowest one)**: 83.7 meV/atom
**Electronic total energy**: -5.58 eV per atom



Entry 4:
DFT (PBE-GGA) results for a geometry-optimized Al2TePO structure.

Unit cell a=5.5381 b=5.5381 c=4.8887 alpha=90.00 beta=90.00 gamma=90.00
Fractional coordinates of all 5 atoms:
Al1 0.0000 0.5000 0.0000
Al2 0.5000 0.0000 0.0000
Te1 0.0000 0.0000 0.0000
P1 0.0000 0.0000 0.5000
O1 0.5000 0.5000 0.5000

**Electronic total energy**: -2.84 eV per atom



Entry 5:
DFT (PBE-GGA) results for a geometry-optimized ReRuS3 structure.

Unit cell a=4.5834 b=4.5834 c=4.5834 alpha=90.00 beta=90.00 gamma=90.00
Fractional coordinates of all 5 atoms:
Re1 0.0000 0.0000 0.0000
Ru1 0.5000 0.5000 0.5000
S1 0.0000 0.5000 0.5000
S2 0.5000 0.0000 0.5000
S3 0.5000 0.5000 0.0000

**Polymorph energy (0 for the lowest one)**: 275.8 meV/atom
**Electronic total energy**: -5.57 eV per atom



Entry 6:
DFT (PBE-GGA) results for a geometry-optimized Ba2LiCdRh structure.

Unit cell a=5.9896 b=5.9896 c=5.3423 alpha=90.00 beta=90.00 gamma=90.00
Fractional coordinates of all 5 atoms:
Ba1 0.0000 0.5000 0.0000
Ba2 0.5000 0.0000 0.0000
Li1 0.0000 0.0000 0.5000
Cd1 0.5000 0.5000 0.5000
Rh1 0.5000 0.5000 0.0000

**Polymorph energy (0 for the lowest one)**: 0.0 meV/atom
**Electronic total energy**: -2.91 eV per atom



Entry 7:
DFT (PBE-GGA) results for a geometry-optimized KZn2Cu structure.

Unit cell a=4.3942 b=4.3942 c=4.7158 alpha=90.00 beta=90.00 gamma=90.00
Fractional coordinates of all 4 atoms:
K1 0.0000 0.0000 0.0000
Zn1 0.0000 0.5000 0.5000
Zn2 0.5000 0.0000 0.5000
Cu1 0.5000 0.5000 0.0000

**Electronic total energy**: -1.47 eV per atom



Entry 8:
DFT (PBE-GGA) results for a geometry-optimized NiAg3 structure.

Unit cell a=6.3848 b=6.3848 c=6.3848 alpha=90.00 beta=90.00 gamma=90.00
Fractional coordinates of all 16 atoms:
Ni1 0.0000 0.0000 0.0000
Ni2 0.0000 0.5000 0.5000
Ni3 0.5000 0.0000 0.5000
Ni4 0.5000 0.5000 0.0000
Ag1 0.0000 0.0000 0.5000
Ag2 0.0000 0.5000 0.0000
Ag3 0.2500 0.2500 0.2500
Ag4 0.2500 0.2500 0.7500
Ag5 0.2500 0.7500 0.2500
Ag6 0.2500 0.7500 0.7500
Ag7 0.5000 0.0000 0.0000
Ag8 0.5000 0.5000 0.5000
Ag9 0.7500 0.2500 0.2500
Ag10 0.7500 0.2500 0.7500
Ag11 0.7500 0.7500 0.2500
Ag12 0.7500 0.7500 0.7500

**Electronic total energy**: -3.35 eV per atom



Entry 9:
DFT (PBE-GGA) results for a geometry-optimized Er8Tl2In structure.

Unit cell a=8.5284 b=8.5284 c=8.4780 alpha=118.92 beta=118.92 gamma=36.11
Fractional coordinates of all 11 atoms:
Er1 0.0635 0.0635 0.2191
Er2 0.1373 0.1373 0.6816
Er3 0.3196 0.3196 0.5555
Er4 0.4093 0.4093 0.0486
Er5 0.5907 0.5907 0.9514
Er6 0.6804 0.6804 0.4445
Er7 0.8627 0.8627 0.3184
Er8 0.9365 0.9365 0.7809
Tl1 0.2230 0.2230 0.1209
Tl2 0.7770 0.7770 0.8791
In1 0.5000 0.5000 0.5000

**Polymorph energy (0 for the lowest one)**: 0.0 meV/atom
**Electronic total energy**: -4.21 eV per atom



Entry 10:
DFT (PBE-GGA) results for a geometry-optimized Hf3Tl3CuSe8 structure.

Unit cell a=9.0796 b=9.0796 c=9.0796 alpha=50.37 beta=50.37 gamma=50.37
Fractional coordinates of all 15 atoms:
Hf1 0.0000 0.5000 0.5000
Hf2 0.5000 0.0000 0.5000
Hf3 0.5000 0.5000 0.0000
Tl1 0.0000 0.0000 0.5000
Tl2 0.0000 0.5000 0.0000
Tl3 0.5000 0.0000 0.0000
Cu1 0.0000 0.0000 0.0000
Se1 0.2301 0.2301 0.7278
Se2 0.2301 0.7278 0.2301
Se3 0.2675 0.2675 0.2675
Se4 0.2722 0.7699 0.7699
Se5 0.7278 0.2301 0.2301
Se6 0.7325 0.7325 0.7325
Se7 0.7699 0.2722 0.7699
Se8 0.7699 0.7699 0.2722

**Electronic total energy**: -5.46 eV per atom



Entry 11:
DFT (PBE-GGA) results for a geometry-optimized Be2AlPtS structure.

Unit cell a=3.8426 b=3.8426 c=4.9361 alpha=90.00 beta=90.00 gamma=90.00
Fractional coordinates of all 5 atoms:
Be1 0.0000 0.5000 0.0000
Be2 0.5000 0.0000 0.0000
Al1 0.0000 0.0000 0.5000
Pt1 0.5000 0.5000 0.5000
S1 0.0000 0.0000 0.0000

**Electronic total energy**: -4.00 eV per atom



Entry 12:
DFT (PBE-GGA) results for a geometry-optimized SnB structure.

Unit cell a=9.1686 b=9.1686 c=3.7655 alpha=90.00 beta=90.00 gamma=120.00
Fractional coordinates of all 12 atoms:
Sn1 0.0955 0.6834 0.2500
Sn2 0.3166 0.4121 0.2500
Sn3 0.4121 0.0955 0.7500
Sn4 0.5879 0.9045 0.2500
Sn5 0.6834 0.5879 0.7500
Sn6 0.9045 0.3166 0.7500
B1 0.0685 0.4072 0.2500
B2 0.3387 0.9315 0.2500
B3 0.4072 0.3387 0.7500
B4 0.5928 0.6613 0.2500
B5 0.6613 0.0685 0.7500
B6 0.9315 0.5928 0.7500

**Polymorph energy (0 for the lowest one)**: 504.4 meV/atom
**Electronic total energy**: -4.45 eV per atom



Entry 13:
DFT (PBE-GGA) results for a geometry-optimized CrIrPb2 structure.

Unit cell a=10.9130 b=3.1150 c=5.2160 alpha=90.00 beta=107.68 gamma=90.00
Fractional coordinates of all 8 atoms:
Cr1 0.0000 0.0000 0.0000
Cr2 0.5000 0.5000 0.0000
Ir1 0.3274 0.0000 0.7173
Ir2 0.8274 0.5000 0.7173
Pb1 0.0622 0.5000 0.5424
Pb2 0.2649 0.5000 0.1756
Pb3 0.5622 0.0000 0.5424
Pb4 0.7649 0.0000 0.1756

**Polymorph energy (0 for the lowest one)**: 212.7 meV/atom
**Electronic total energy**: -6.01 eV per atom



Entry 14:
DFT (PBE-GGA) results for a geometry-optimized Tl2RhAu structure.

Unit cell a=9.1440 b=3.5107 c=5.3481 alpha=90.00 beta=104.19 gamma=90.00
Fractional coordinates of all 8 atoms:
Tl1 0.2435 0.0000 0.2376
Tl2 0.2565 0.5000 0.7624
Tl3 0.7435 0.5000 0.2376
Tl4 0.7565 0.0000 0.7624
Rh1 0.0000 0.5000 0.0000
Rh2 0.5000 0.0000 0.0000
Au1 0.0000 0.0000 0.5000
Au2 0.5000 0.5000 0.5000

**Electronic total energy**: -3.62 eV per atom



Entry 15:
DFT (PBE-GGA) results for a geometry-optimized YAl2 structure.

Unit cell a=4.1168 b=10.7399 c=5.8195 alpha=90.00 beta=90.00 gamma=90.00
Fractional coordinates of all 12 atoms:
Y1 0.0000 0.1979 0.2500
Y2 0.0000 0.8021 0.7500
Y3 0.5000 0.3021 0.7500
Y4 0.5000 0.6979 0.2500
Al1 0.0000 0.0942 0.7500
Al2 0.0000 0.5000 0.0000
Al3 0.0000 0.5000 0.5000
Al4 0.0000 0.9058 0.2500
Al5 0.5000 0.0000 0.0000
Al6 0.5000 0.0000 0.5000
Al7 0.5000 0.4058 0.2500
Al8 0.5000 0.5942 0.7500

**Electronic total energy**: -5.10 eV per atom



Entry 16:
DFT (PBE-GGA) results for a geometry-optimized PmTlGeBr6 structure.

Unit cell a=7.4077 b=7.4077 c=7.2494 alpha=90.00 beta=90.00 gamma=120.00
Fractional coordinates of all 9 atoms:
Pm1 0.0000 0.0000 0.0000
Tl1 0.3333 0.6667 0.5000
Ge1 0.6667 0.3333 0.0000
Br1 0.3391 0.0368 0.2250
Br2 0.3391 0.3023 0.7750
Br3 0.6977 0.0368 0.7750
Br4 0.6977 0.6609 0.2250
Br5 0.9632 0.3023 0.2250
Br6 0.9632 0.6609 0.7750

**Electronic total energy**: -3.65 eV per atom



Entry 17:
DFT (PBE-GGA) results for a geometry-optimized Be2WCl structure.

Unit cell a=2.8619 b=2.8619 c=22.1209 alpha=90.00 beta=90.00 gamma=120.00
Fractional coordinates of all 12 atoms:
Be1 0.0000 0.0000 0.0000
Be2 0.0000 0.0000 0.2632
Be3 0.3333 0.6667 0.6667
Be4 0.3333 0.6667 0.9299
Be5 0.6667 0.3333 0.3333
Be6 0.6667 0.3333 0.5965
W1 0.0000 0.0000 0.5081
W2 0.3333 0.6667 0.1748
W3 0.6667 0.3333 0.8415
Cl1 0.0000 0.0000 0.7507
Cl2 0.3333 0.6667 0.4174
Cl3 0.6667 0.3333 0.0840

**Polymorph energy (0 for the lowest one)**: 349.5 meV/atom
**Electronic total energy**: -5.01 eV per atom



Entry 18:
DFT (PBE-GGA) results for a geometry-optimized CsTlP2Cl structure.

Unit cell a=5.2134 b=5.2134 c=6.3342 alpha=90.00 beta=90.00 gamma=90.00
Fractional coordinates of all 5 atoms:
Cs1 0.0000 0.0000 0.0000
Tl1 0.5000 0.5000 0.5000
P1 0.0000 0.5000 0.5000
P2 0.5000 0.0000 0.5000
Cl1 0.5000 0.5000 0.0000

**Polymorph energy (0 for the lowest one)**: 0.0 meV/atom
**Electronic total energy**: -3.02 eV per atom



Entry 19:
DFT (PBE-GGA) results for a geometry-optimized Pr2ErAl9 structure.

Unit cell a=9.4296 b=9.4296 c=9.4296 alpha=34.93 beta=34.93 gamma=34.93
Fractional coordinates of all 12 atoms:
Pr1 0.1417 0.1417 0.1417
Pr2 0.8583 0.8583 0.8583
Er1 0.0000 0.0000 0.0000
Al1 0.0747 0.5853 0.5853
Al2 0.3351 0.3351 0.3351
Al3 0.4147 0.4147 0.9253
Al4 0.4147 0.9253 0.4147
Al5 0.5000 0.5000 0.5000
Al6 0.5853 0.0747 0.5853
Al7 0.5853 0.5853 0.0747
Al8 0.6649 0.6649 0.6649
Al9 0.9253 0.4147 0.4147

**Electronic total energy**: -4.32 eV per atom



Entry 20:
DFT (PBE-GGA) results for a geometry-optimized Dy6MgHg3 structure.

Unit cell a=9.3297 b=5.2504 c=11.5774 alpha=90.00 beta=107.12 gamma=90.00
Fractional coordinates of all 20 atoms:
Dy1 0.0323 0.2500 0.4026
Dy2 0.1526 0.7500 0.1878
Dy3 0.2475 0.2500 0.0064
Dy4 0.3411 0.7500 0.8085
Dy5 0.3738 0.2500 0.3349
Dy6 0.3903 0.2500 0.6152
Dy7 0.6097 0.7500 0.3848
Dy8 0.6262 0.7500 0.6651
Dy9 0.6589 0.2500 0.1915
Dy10 0.7525 0.7500 0.9936
Dy11 0.8474 0.2500 0.8122
Dy12 0.9677 0.7500 0.5974
Mg1 0.4569 0.7500 0.1009
Mg2 0.5431 0.2500 0.8991
Hg1 0.0379 0.7500 0.8862
Hg2 0.1362 0.2500 0.7243
Hg3 0.2797 0.7500 0.4728
Hg4 0.7203 0.2500 0.5272
Hg5 0.8638 0.7500 0.2757
Hg6 0.9621 0.2500 0.1138

**Electronic total energy**: -3.27 eV per atom



Entry 21:
DFT (PBE-GGA) results for a geometry-optimized Li4Dy2Cl9 structure.

Unit cell a=6.6403 b=6.6403 c=17.8352 alpha=90.00 beta=90.00 gamma=120.00
Fractional coordinates of all 30 atoms:
Li1 0.3333 0.6667 0.1683
Li2 0.3333 0.6667 0.4833
Li3 0.3333 0.6667 0.6683
Li4 0.3333 0.6667 0.9833
Li5 0.6667 0.3333 0.0167
Li6 0.6667 0.3333 0.3317
Li7 0.6667 0.3333 0.5167
Li8 0.6667 0.3333 0.8317
Dy1 0.0000 0.0000 0.1565
Dy2 0.0000 0.0000 0.3435
Dy3 0.0000 0.0000 0.6565
Dy4 0.0000 0.0000 0.8435
Cl1 0.0000 0.3292 0.2500
Cl2 0.0000 0.6708 0.7500
Cl3 0.0212 0.3610 0.5834
Cl4 0.0212 0.6602 0.0834
Cl5 0.3292 0.0000 0.2500
Cl6 0.3292 0.3292 0.7500
Cl7 0.3398 0.3610 0.0834
Cl8 0.3398 0.9788 0.5834
Cl9 0.3610 0.0212 0.9166
Cl10 0.3610 0.3398 0.4166
Cl11 0.6390 0.6602 0.5834
Cl12 0.6390 0.9788 0.0834
Cl13 0.6602 0.0212 0.4166
Cl14 0.6602 0.6390 0.9166
Cl15 0.6708 0.0000 0.7500
Cl16 0.6708 0.6708 0.2500
Cl17 0.9788 0.3398 0.9166
Cl18 0.9788 0.6390 0.4166

**Electronic total energy**: -4.16 eV per atom



Entry 22:
DFT (PBE-GGA) results for a geometry-optimized RbIn8Sn4 structure.

Unit cell a=9.3742 b=9.3742 c=9.3742 alpha=59.89 beta=59.89 gamma=59.89
Fractional coordinates of all 13 atoms:
Rb1 0.0000 0.0000 0.0000
In1 0.2729 0.2729 0.2729
In2 0.2788 0.2788 0.6737
In3 0.2788 0.6737 0.2788
In4 0.3263 0.7212 0.7212
In5 0.6737 0.2788 0.2788
In6 0.7212 0.3263 0.7212
In7 0.7212 0.7212 0.3263
In8 0.7271 0.7271 0.7271
Sn1 0.0000 0.5000 0.5000
Sn2 0.5000 0.0000 0.5000
Sn3 0.5000 0.5000 0.0000
Sn4 0.5000 0.5000 0.5000

**Electronic total energy**: -2.82 eV per atom



Entry 23:
DFT (PBE-GGA) results for a geometry-optimized PuHgSe structure.

Unit cell a=3.6464 b=3.6464 c=11.8227 alpha=90.00 beta=90.00 gamma=90.00
Fractional coordinates of all 6 atoms:
Pu1 0.0000 0.0000 0.0000
Pu2 0.5000 0.5000 0.5000
Hg1 0.0000 0.0000 0.3065
Hg2 0.5000 0.5000 0.8065
Se1 0.0000 0.0000 0.6167
Se2 0.5000 0.5000 0.1167

**Polymorph energy (0 for the lowest one)**: 57.4 meV/atom
**Electronic total energy**: -6.75 eV per atom